# 1
Density functional theory data (PBE) for ZrSN3 after structural relaxation.

Summary:
Theoretical density   3.620 g/cm³
DFT total energy   -0.443 Ry per atom
Raw formation energy   1508 meV/atom

abc: 4.232 4.232 4.232
angles: 90.00 90.00 90.00
Fractional coordinates of all 5 atoms:
S  0.500  0.500  0.500
Zr  0.000  0.000  0.000
N  0.000  0.500  0.000
N  0.000  0.000  0.500
N  0.500  0.000  0.000

# 2
Density functional theory data (PBE) for Zr4S4N after structural relaxation.

Summary:
Theoretical density   4.551 g/cm³
DFT total energy   -0.577 Ry per atom
Raw formation energy   -1287 meV/atom

abc: 5.937 5.937 6.722
angles: 116.21 116.21 90.00
Fractional coordinates of all 9 atoms:
Zr  0.672  0.672  0.733
Zr  0.328  0.939  0.267
Zr  0.061  0.061  0.733
Zr  0.939  0.328  0.267
S  0.500  0.000  0.000
S  0.000  0.500  0.000
S  0.322  0.322  0.645
S  0.678  0.678  0.355
N  0.000  0.000  0.000

# 3
Density functional theory data (PBE) for ZrS2N2 after structural relaxation.

Summary:
Theoretical density   2.755 g/cm³
Energy relative to the lowest polymorph listed for this composition   0.4150 eV/atom
DFT total energy   -0.409 Ry per atom
Raw formation energy   1121 meV/atom

abc: 5.048 5.048 4.337
angles: 90.00 90.00 90.00
Fractional coordinates of all 5 atoms:
S  0.000  0.500  0.000
S  0.500  0.000  0.000
Zr  0.000  0.000  0.000
N  0.500  0.500  0.500
N  0.000  0.000  0.500

# 4
Density functional theory data (PBE) for Zr4S3N2 after structural relaxation.

Summary:
Theoretical density   5.224 g/cm³
DFT total energy   -0.625 Ry per atom
Raw formation energy   -1481 meV/atom

abc: 6.315 6.315 9.496
angles: 52.26 52.26 32.18
Fractional coordinates of all 9 atoms:
Zr  0.229  0.229  0.654
Zr  0.771  0.771  0.346
Zr  0.604  0.604  0.099
Zr  0.396  0.396  0.901
S  0.000  0.000  0.000
S  0.847  0.847  0.741
S  0.153  0.153  0.259
N  0.364  0.364  0.365
N  0.636  0.636  0.635

# 5
Density functional theory data (PBE) for Zr2S2N after structural relaxation.

Summary:
Theoretical density   5.364 g/cm³
Energy relative to the lowest polymorph listed for this composition   1.1553 eV/atom
DFT total energy   -0.520 Ry per atom
Raw formation energy   -344 meV/atom

abc: 7.070 7.070 3.228
angles: 90.00 90.00 90.00
Fractional coordinates of all 10 atoms:
S  0.365  0.865  0.000
S  0.865  0.635  0.000
S  0.635  0.135  0.000
S  0.135  0.365  0.000
Zr  0.163  0.663  0.500
Zr  0.663  0.837  0.500
Zr  0.837  0.337  0.500
Zr  0.337  0.163  0.500
N  0.000  0.000  0.000
N  0.500  0.500  0.000

# 6
Density functional theory data (PBE) for ZrSN after structural relaxation.

Summary:
Theoretical density   4.736 g/cm³
Energy relative to the lowest polymorph listed for this composition   0.0619 eV/atom
DFT total energy   -0.600 Ry per atom
Raw formation energy   -1161 meV/atom

abc: 4.123 3.698 6.550
angles: 90.00 105.39 90.00
Fractional coordinates of all 6 atoms:
Zr  0.811  0.250  0.644
Zr  0.189  0.750  0.356
S  0.265  0.250  0.018
S  0.735  0.750  0.982
N  0.257  0.250  0.525
N  0.743  0.750  0.475

# 7
Density functional theory data (PBE) for Zr2SN after structural relaxation.

Summary:
Theoretical density   4.933 g/cm³
Energy relative to the lowest polymorph listed for this composition   0.3737 eV/atom
DFT total energy   -0.630 Ry per atom
Raw formation energy   -1190 meV/atom

abc: 5.410 5.410 6.501
angles: 65.41 65.41 90.00
Fractional coordinates of all 8 atoms:
S  0.000  0.000  0.000
S  0.750  0.250  0.500
Zr  0.565  0.125  0.250
Zr  0.185  0.625  0.250
Zr  0.375  0.435  0.750
Zr  0.875  0.815  0.750
N  0.500  0.500  0.000
N  0.250  0.750  0.500

# 8
Density functional theory data (PBE) for ZrSN after structural relaxation.

Summary:
Theoretical density   4.840 g/cm³
Energy relative to the lowest polymorph listed for this composition   0.0239 eV/atom
DFT total energy   -0.603 Ry per atom
Raw formation energy   -1199 meV/atom

abc: 3.570 4.414 6.084
angles: 90.27 100.61 90.41
Fractional coordinates of all 6 atoms:
Zr  0.606  0.263  0.886
Zr  0.031  0.762  0.593
S  0.197  0.061  0.223
S  0.368  0.514  0.257
N  0.049  0.263  0.696
N  0.581  0.765  0.782